## a
Here is crystalline Er2ThRu at its relaxed geometry from the Alexandria database. Energies are from PBE.

Output
Magnetization   0.000 μB per formula unit
N(E_F)   1.12 states/eV/atom

Structure (CIF):
```
data_Er2ThRu
_space_group_name_H-M_alt 'P 4/m m m'
_space_group_IT_number 123
_space_group_name_Hall '-P 4 2'
_cell_length_a 3.4240
_cell_length_b 3.4240
_cell_length_c 8.7653
_cell_angle_alpha 90.00
_cell_angle_beta 90.00
_cell_angle_gamma 90.00
loop_
_atom_site_label
_atom_site_type_symbol
_atom_site_fract_x
_atom_site_fract_y
_atom_site_fract_z
Er1 Er 0.0000 0.0000 0.1846
Th1 Th 0.5000 0.5000 0.5000
Ru1 Ru 0.5000 0.5000 0.0000
```


## b
Here is crystalline Er2ThRu at its relaxed geometry from the Alexandria database. Energies are from PBE.

Output
Magnetization   0.003 μB per formula unit
N(E_F)   1.70 states/eV/atom

Structure (CIF):
```
data_Er2ThRu
_space_group_name_H-M_alt 'R -3 m'
_space_group_IT_number 166
_space_group_name_Hall '-R 3 2"'
_cell_length_a 3.4062
_cell_length_b 3.4062
_cell_length_c 32.2849
_cell_angle_alpha 90.00
_cell_angle_beta 90.00
_cell_angle_gamma 120.00
loop_
_atom_site_label
_atom_site_type_symbol
_atom_site_fract_x
_atom_site_fract_y
_atom_site_fract_z
Er1 Er 0.0000 0.0000 0.1062
Th1 Th 0.0000 0.0000 0.0000
Ru1 Ru 0.0000 0.0000 0.5000
```


Relative energies with respect to the most stable structure, expressed in meV per atom: a 0; b 320.


## a
Here is crystalline Cu6RhAu2 at its relaxed geometry from the Alexandria database. Energies are from PBE.

Output
Magnetization   0.272 μB per formula unit
N(E_F)   0.39 states/eV/atom

Structure (CIF):
```
data_Cu6RhAu2
_space_group_name_H-M_alt 'C 1 2/m 1'
_space_group_IT_number 12
_space_group_name_Hall '-C 2y'
_cell_length_a 12.7010
_cell_length_b 7.3313
_cell_length_c 2.6705
_cell_angle_alpha 90.00
_cell_angle_beta 90.02
_cell_angle_gamma 90.00
loop_
_atom_site_label
_atom_site_type_symbol
_atom_site_fract_x
_atom_site_fract_y
_atom_site_fract_z
Cu1 Cu 0.0000 0.1715 0.0000
Cu2 Cu 0.1643 0.3357 0.0073
Rh1 Rh 0.0000 0.5000 0.5000
Au1 Au 0.1666 0.0000 0.4999
```


## b
Here is crystalline Cu6RhAu2 at its relaxed geometry from the Alexandria database. Energies are from PBE.

Output
Magnetization   0.327 μB per formula unit
N(E_F)   0.37 states/eV/atom

Structure (CIF):
```
data_Cu6RhAu2
_space_group_name_H-M_alt 'A m m 2'
_space_group_IT_number 38
_space_group_name_Hall 'A 2 -2'
_cell_length_a 2.7040
_cell_length_b 7.6268
_cell_length_c 12.1395
_cell_angle_alpha 90.00
_cell_angle_beta 90.00
_cell_angle_gamma 90.00
loop_
_atom_site_label
_atom_site_type_symbol
_atom_site_fract_x
_atom_site_fract_y
_atom_site_fract_z
Cu1 Cu 0.0000 0.1577 0.0000
Cu2 Cu 0.5000 0.1792 0.3461
Cu3 Cu 0.5000 0.2033 0.6543
Rh1 Rh 0.0000 0.0000 0.1934
Au1 Au 0.0000 0.0000 0.5069
Au2 Au 0.0000 0.0000 0.8047
```


Relative energies with respect to the most stable structure, expressed in meV per atom: a 0; b 23.


## a
Here is crystalline ZnNi2Se at its relaxed geometry from the Alexandria database. Energies are from PBE.

Output
Magnetization   0.000 μB per formula unit
N(E_F)   0.48 states/eV/atom

Structure (CIF):
```
data_ZnNi2Se
_space_group_name_H-M_alt 'P 4 m m'
_space_group_IT_number 99
_space_group_name_Hall 'P 4 -2'
_cell_length_a 3.2892
_cell_length_b 3.2892
_cell_length_c 5.0762
_cell_angle_alpha 90.00
_cell_angle_beta 90.00
_cell_angle_gamma 90.00
loop_
_atom_site_label
_atom_site_type_symbol
_atom_site_fract_x
_atom_site_fract_y
_atom_site_fract_z
Zn1 Zn 0.0000 0.0000 0.0000
Ni1 Ni 0.0000 0.0000 0.4802
Ni2 Ni 0.5000 0.5000 0.1879
Se1 Se 0.5000 0.5000 0.6487
```


## b
Here is crystalline ZnNi2Se at its relaxed geometry from the Alexandria database. Energies are from PBE.

Output
Magnetization   0.000 μB per formula unit
N(E_F)   0.71 states/eV/atom

Structure (CIF):
```
data_ZnNi2Se
_space_group_name_H-M_alt 'P m m m'
_space_group_IT_number 47
_space_group_name_Hall '-P 2 2'
_cell_length_a 3.0505
_cell_length_b 3.0769
_cell_length_c 5.6539
_cell_angle_alpha 90.00
_cell_angle_beta 90.00
_cell_angle_gamma 90.00
loop_
_atom_site_label
_atom_site_type_symbol
_atom_site_fract_x
_atom_site_fract_y
_atom_site_fract_z
Zn1 Zn 0.0000 0.0000 0.0000
Ni1 Ni 0.5000 0.5000 0.2470
Se1 Se 0.0000 0.0000 0.5000
```


Relative energies with respect to the most stable structure, expressed in meV per atom: a 0; b 47.


## a
Here is crystalline Sn2SbBr at its relaxed geometry from the Alexandria database. Energies are from PBE.

Output
Magnetization   0.000 μB per formula unit
N(E_F)   0.25 states/eV/atom

Structure (CIF):
```
data_Sn2SbBr
_space_group_name_H-M_alt 'F m -3 m'
_space_group_IT_number 225
_space_group_name_Hall '-F 4 2 3'
_cell_length_a 7.6435
_cell_length_b 7.6435
_cell_length_c 7.6435
_cell_angle_alpha 90.00
_cell_angle_beta 90.00
_cell_angle_gamma 90.00
loop_
_atom_site_label
_atom_site_type_symbol
_atom_site_fract_x
_atom_site_fract_y
_atom_site_fract_z
Sn1 Sn 0.2500 0.2500 0.2500
Sb1 Sb 0.0000 0.0000 0.0000
Br1 Br 0.0000 0.0000 0.5000
```


## b
Here is crystalline Sn2SbBr at its relaxed geometry from the Alexandria database. Energies are from PBE.

Output
Magnetization   0.000 μB per formula unit
N(E_F)   0.24 states/eV/atom

Structure (CIF):
```
data_Sn2SbBr
_space_group_name_H-M_alt 'C m c m'
_space_group_IT_number 63
_space_group_name_Hall '-C 2c 2'
_cell_length_a 6.7316
_cell_length_b 15.4519
_cell_length_c 5.1897
_cell_angle_alpha 90.00
_cell_angle_beta 90.00
_cell_angle_gamma 90.00
loop_
_atom_site_label
_atom_site_type_symbol
_atom_site_fract_x
_atom_site_fract_y
_atom_site_fract_z
Sn1 Sn 0.2450 0.1052 0.2500
Sb1 Sb 0.0000 0.0695 0.7500
Br1 Br 0.0000 0.2796 0.2500
```


Relative energies with respect to the most stable structure, expressed in meV per atom: a 0; b 27.


## a
Here is crystalline TaCd2Ag at its relaxed geometry from the Alexandria database. Energies are from PBE.

Output
Magnetization   0.000 μB per formula unit
N(E_F)   0.49 states/eV/atom

Structure (CIF):
```
data_TaCd2Ag
_space_group_name_H-M_alt 'C m m m'
_space_group_IT_number 65
_space_group_name_Hall '-C 2 2'
_cell_length_a 6.1784
_cell_length_b 9.0238
_cell_length_c 2.7955
_cell_angle_alpha 90.00
_cell_angle_beta 90.00
_cell_angle_gamma 90.00
loop_
_atom_site_label
_atom_site_type_symbol
_atom_site_fract_x
_atom_site_fract_y
_atom_site_fract_z
Ta1 Ta 0.0000 0.0000 0.0000
Cd1 Cd 0.2500 0.2500 0.5000
Ag1 Ag 0.0000 0.5000 0.0000
```


## b
Here is crystalline TaCd2Ag at its relaxed geometry from the Alexandria database. Energies are from PBE.

Output
Magnetization   0.000 μB per formula unit
N(E_F)   0.44 states/eV/atom

Structure (CIF):
```
data_TaCd2Ag
_space_group_name_H-M_alt 'P 1 2/m 1'
_space_group_IT_number 10
_space_group_name_Hall '-P 2y'
_cell_length_a 2.8613
_cell_length_b 4.2965
_cell_length_c 6.2816
_cell_angle_alpha 90.00
_cell_angle_beta 90.16
_cell_angle_gamma 90.00
loop_
_atom_site_label
_atom_site_type_symbol
_atom_site_fract_x
_atom_site_fract_y
_atom_site_fract_z
Ta1 Ta 0.0000 0.0000 0.0000
Cd1 Cd 0.5000 0.5000 0.2518
Ag1 Ag 0.0000 0.0000 0.5000
```


Relative energies with respect to the most stable structure, expressed in meV per atom: a 0; b 21.


## a
Here is crystalline AgSbPb at its relaxed geometry from the Alexandria database. Energies are from PBE.

Output
Magnetization   0.000 μB per formula unit
N(E_F)   0.46 states/eV/atom

Structure (CIF):
```
data_AgSbPb
_space_group_name_H-M_alt 'P 3 m 1'
_space_group_IT_number 156
_space_group_name_Hall 'P 3 -2"'
_cell_length_a 3.3683
_cell_length_b 3.3683
_cell_length_c 7.9272
_cell_angle_alpha 90.00
_cell_angle_beta 90.00
_cell_angle_gamma 120.00
loop_
_atom_site_label
_atom_site_type_symbol
_atom_site_fract_x
_atom_site_fract_y
_atom_site_fract_z
Ag1 Ag 0.0000 0.0000 0.0000
Sb1 Sb 0.3333 0.6667 0.7116
Pb1 Pb 0.6667 0.3333 0.3184
```


## b
Here is crystalline AgSbPb at its relaxed geometry from the Alexandria database. Energies are from PBE.

Output
Magnetization   0.000 μB per formula unit
N(E_F)   0.35 states/eV/atom

Structure (CIF):
```
data_AgSbPb
_space_group_name_H-M_alt 'P 1 21/m 1'
_space_group_IT_number 11
_space_group_name_Hall '-P 2yb'
_cell_length_a 4.5661
_cell_length_b 4.5656
_cell_length_c 7.8128
_cell_angle_alpha 90.00
_cell_angle_beta 90.25
_cell_angle_gamma 90.00
loop_
_atom_site_label
_atom_site_type_symbol
_atom_site_fract_x
_atom_site_fract_y
_atom_site_fract_z
Ag1 Ag 0.2492 0.2500 0.0000
Sb1 Sb 0.2523 0.7500 0.2416
Pb1 Pb 0.2470 0.7500 0.6680
```


Relative energies with respect to the most stable structure, expressed in meV per atom: a 114; b 0.